Compound: Cs2MnAlSe4
Source: Alexandria
Functional: GGA-PBE
Structure: relaxed

* theoretical density: 3.87 g/cm³
* calculated volume: 570.1 Å³/cell
* D(E_F): 0.40 states/eV per atom
* E_form (uncorrected): -978.2 meV per atom

a = 6.205 Å, b = 7.605 Å, c = 13.590 Å
α = 84.66°, β = 76.80°, γ = 65.92°
Fractional positions:
Cs 0.179 0.000 0.642
Cs 0.821 0.000 0.358
Cs 0.571 0.500 0.858
Cs 0.929 0.500 0.142
Mn 0.250 0.500 0.500
Mn 0.500 0.000 0.000
Al 0.750 0.500 0.500
Al 0.000 0.000 0.000
Se 0.280 0.826 0.107
Se 0.212 0.174 0.893
Se 0.894 0.826 0.893
Se 0.614 0.174 0.107
Se 0.470 0.674 0.393
Se 0.538 0.326 0.607
Se 0.856 0.674 0.607
Se 0.136 0.326 0.393